(1)
This record from Alexandria via LeMat-Bulk describes a relaxed structure of VNiPt4. The functional is GGA-PBE.

Results
formation energy = -30.50 kJ per mole of atoms
magnetization = 0.00 μB/atom
energy relative to the lowest polymorph listed for this composition = 0 meV per atom
E_tot = -0.5017 Ry/atom
space group = C2/m, No. 12

Lattice parameters (Å, degrees): 4.6736 8.4072 4.6657 90.00 108.05 90.00
Sites, in units of the cell vectors:
V  0.0000  0.0000  0.0000
V  0.5000  0.5000  0.0000
Ni  0.0000  0.5000  0.5000
Ni  0.5000  0.0000  0.5000
Pt  0.0000  0.1595  0.5000
Pt  0.0000  0.3394  0.0000
Pt  0.0000  0.6606  0.0000
Pt  0.0000  0.8405  0.5000
Pt  0.5000  0.1606  0.0000
Pt  0.5000  0.3405  0.5000
Pt  0.5000  0.6595  0.5000
Pt  0.5000  0.8394  0.0000

(2)
This record from Alexandria via LeMat-Bulk describes a relaxed structure of V2Ni3Pt2. The functional is GGA-PBE.

Results
formation energy = -29.22 kJ per mole of atoms
magnetization = 0.00 μB/atom
energy relative to the lowest polymorph listed for this composition = 0 meV per atom
E_tot = -0.5227 Ry/atom
space group = C2/m, No. 12

Lattice parameters (Å, degrees): 8.4357 3.6604 5.9128 90.00 97.68 90.00
Sites, in units of the cell vectors:
V  0.1429  0.0000  0.4071
V  0.3571  0.5000  0.5929
V  0.6429  0.5000  0.4071
V  0.8571  0.0000  0.5929
Ni  0.0000  0.0000  0.0000
Ni  0.2080  0.5000  0.1419
Ni  0.2920  0.0000  0.8581
Ni  0.5000  0.5000  0.0000
Ni  0.7080  0.0000  0.1419
Ni  0.7920  0.5000  0.8581
Pt  0.0757  0.5000  0.7199
Pt  0.4243  0.0000  0.2801
Pt  0.5757  0.0000  0.7199
Pt  0.9243  0.5000  0.2801

(3)
This record from Alexandria via LeMat-Bulk describes a relaxed structure of V2Ni8Pt3. The functional is GGA-PBE.

Results
formation energy = 2.99 kJ per mole of atoms
magnetization = 0.00 μB/atom
E_tot = -0.4648 Ry/atom
space group = R-3m, No. 166

Lattice parameters (Å, degrees): 9.4964 9.4964 9.4964 28.14 28.14 28.14
Sites, in units of the cell vectors:
V  0.1372  0.1372  0.1372
V  0.8628  0.8628  0.8628
Ni  0.2203  0.2203  0.2203
Ni  0.2353  0.2353  0.7320
Ni  0.2353  0.7320  0.2353
Ni  0.2680  0.7647  0.7647
Ni  0.7320  0.2353  0.2353
Ni  0.7647  0.2680  0.7647
Ni  0.7647  0.7647  0.2680
Ni  0.7797  0.7797  0.7797
Pt  0.3153  0.3153  0.3153
Pt  0.5000  0.5000  0.5000
Pt  0.6847  0.6847  0.6847

Q: Among the records above, which one has the highest formation energy?
A: V2Ni8Pt3

Q: Which value of formation energy does entry 3 give?
A: 2.99 kJ per mole of atoms

Q: Among the records above, which one has the highest formation energy?
A: V2Ni8Pt3